Entry 1:
A crystal of Ag2TeW relaxed with PBEsol, computed with meta-GGA SCAN.

E_tot in eV per atom: -41.660
SG: C2/m (12)
Total moment in μB per formula unit: 0.00
E_form (uncorrected) in eV/atom: 0.76

POSCAR file:
```
Ag2TeW
1.0
3.1417 0.0000 0.0000
0.0000 4.5328 -0.1137
-1.5709 -2.1462 5.1054
W Ag Te
1 2 1
direct
0.5000 0.0000 0.0000 W
0.2456 0.2457 0.4912 Ag
0.7544 0.7543 0.5088 Ag
0.0000 0.5000 0.0000 Te
```

---

Entry 2:
A crystal of AgTeW2 relaxed with PBEsol, computed with meta-GGA SCAN.

E_tot in eV per atom: -50.986
SG: Pmmm (47)
Total moment in μB per formula unit: 0.00
E_form (uncorrected) in eV/atom: 1.01

POSCAR file:
```
AgTeW2
1.0
-1.1330 1.7194 2.4951
2.6251 -2.4278 2.8650
3.5116 3.1319 -0.5636
W Ag Te
2 1 1
direct
0.0000 0.0000 0.0000 W
0.5000 0.5000 0.0000 W
0.5000 0.0000 0.5000 Ag
0.0000 0.5000 0.5000 Te
```